Material: Al2CoSb
Method: DFT, PBEsol
State: optimized geometry

Cell: 4.865 4.865 4.865 Å, 135.27 125.04 73.46°
Element x y z (fractional)
Al  0.000  0.000  0.000
Al  0.734  0.234  0.500
Co  0.212  0.712  0.500
Sb  0.464  0.464  0.000

Summary:
Total DFT energy (no corrections) (Ha/atom): -0.1817
Raw formation energy (eV per atom): 0.17



Material: YMgInW2
Method: DFT, PBEsol
State: optimized geometry

Cell: 5.006 5.006 4.816 Å, 90.00 90.00 90.00°
Element x y z (fractional)
Y  0.000  0.000  0.000
Mg  0.500  0.500  0.000
In  0.500  0.500  0.500
W  0.000  0.500  0.500
W  0.500  0.000  0.500

Summary:
Energy of formation from the pure elements (eV per atom): 1.688
Total DFT energy (no corrections) (Ha/atom): -0.2256



Material: YZnFe2
Method: DFT, PBEsol
State: optimized geometry

Cell: 4.042 4.042 3.609 Å, 90.00 90.00 90.00°
Element x y z (fractional)
Y  0.000  0.000  0.000
Zn  0.500  0.500  0.000
Fe  0.000  0.500  0.500
Fe  0.500  0.000  0.500

Summary:
Energy of formation from the pure elements (eV per atom): 0.223
Total DFT energy (no corrections) (Ha/atom): -0.2337



Material: H2PtPb
Method: DFT, PBEsol
State: optimized geometry

Cell: 4.126 4.126 4.126 Å, 60.00 60.00 60.00°
Element x y z (fractional)
H  0.250  0.250  0.250
H  0.750  0.750  0.750
Pt  0.000  0.000  0.000
Pb  0.500  0.500  0.500

Summary:
Total DFT energy (no corrections) (Ha/atom): -0.1343



Material: ScC3
Method: DFT, PBEsol
State: optimized geometry

Cell: 4.272 4.272 4.272 Å, 90.00 90.00 90.00°
Element x y z (fractional)
Sc  0.000  0.000  0.000
C  0.000  0.000  0.500
C  0.000  0.500  0.000
C  0.500  0.000  0.000

Summary:
Energy of formation from the pure elements (eV per atom): 3.508
Total DFT energy (no corrections) (Ha/atom): -0.1976
Distance to the lowest polymorph of the same formula (kJ/mol of formula units): 1040



Material: K2CuSbBr6
Method: DFT, PBEsol
State: optimized geometry

Cell: 7.563 7.563 7.563 Å, 60.00 60.00 60.00°
Element x y z (fractional)
K  0.250  0.250  0.250
K  0.750  0.750  0.750
Cu  0.000  0.000  0.000
Sb  0.500  0.500  0.500
Br  0.240  0.240  0.760
Br  0.240  0.760  0.240
Br  0.240  0.760  0.760
Br  0.760  0.240  0.240
Br  0.760  0.240  0.760
Br  0.760  0.760  0.240

Summary:
Total DFT energy (no corrections) (Ha/atom): -0.1173
Raw formation energy (eV per atom): -0.95



Question: Among the records above, which one has the lowest total DFT energy (no corrections)?
Answer: YZnFe2